## HgTe5 (PBE)

Data for an optimized crystal structure of HgTe5.

abc: 5.952 5.952 8.870
angles: 76.30 76.30 40.98
Fractional coordinates of all 6 atoms:
Hg (0.004, 0.004, 0.018)
Te (0.337, 0.337, 0.691)
Te (0.683, 0.683, 0.365)
Te (0.594, 0.594, 0.708)
Te (0.934, 0.934, 0.367)
Te (0.281, 0.281, 0.018)

Calculated values
DOS(E_F) = 2.32 states/eV/f.u.
Size of the total moment = 0.00 μB per cell
SG = No. 8
Electronic total energy = -15.35 eV/cell

***

## KTm4B3O12 (PBE)

Data for an optimized crystal structure of KTm4B3O12.

abc: 6.680 6.680 6.680
angles: 109.47 109.47 109.47
Last column: magnetic moment on the atom in μB.
Fractional coordinates of all 20 atoms:
K (0.000, 0.000, 0.000)  0.00
Tm (0.500, 0.000, 0.000)  -0.01
Tm (0.500, 0.500, 0.500)  -0.01
Tm (0.000, 0.500, 0.000)  -0.01
Tm (0.000, 0.000, 0.500)  -0.01
B (0.000, 0.500, 0.500)  -0.01
B (0.500, 0.500, 0.000)  -0.01
B (0.500, 0.000, 0.500)  -0.01
O (0.353, 0.858, 0.211)  0.15
O (0.647, 0.142, 0.789)  0.15
O (0.647, 0.858, 0.506)  0.15
O (0.789, 0.647, 0.142)  0.15
O (0.858, 0.211, 0.353)  0.15
O (0.142, 0.494, 0.353)  0.15
O (0.494, 0.353, 0.142)  0.15
O (0.142, 0.789, 0.647)  0.15
O (0.353, 0.142, 0.494)  0.15
O (0.211, 0.353, 0.858)  0.15
O (0.858, 0.506, 0.647)  0.15
O (0.506, 0.647, 0.858)  0.15

Calculated values
DOS(E_F) = 6.79 states/eV/f.u.
Size of the total moment = 2.03 μB per cell
SG = No. 204
Electronic total energy = -144.52 eV/cell

***

## Ba2SrLaPd (PBE)

Data for an optimized crystal structure of Ba2SrLaPd.

abc: 6.467 6.467 5.741
angles: 90.00 90.00 90.00
Fractional coordinates of all 5 atoms:
Sr (0.500, 0.500, 0.500)
Ba (0.000, 0.500, 0.000)
Ba (0.500, 0.000, 0.000)
Pd (0.000, 0.000, 0.000)
La (0.000, 0.000, 0.500)

Calculated values
DOS(E_F) = 4.28 states/eV/f.u.
Size of the total moment = 0.00 μB per cell
SG = No. 123
Electronic total energy = -16.59 eV/cell
Energy of formation from the pure elements = -0.94 eV/f.u.

***

## BF (PBE)

Data for an optimized crystal structure of BF.

abc: 4.621 4.621 4.621
angles: 90.00 90.00 90.00
Fractional coordinates of all 8 atoms:
B (0.000, 0.000, 0.000)
B (0.000, 0.500, 0.500)
B (0.500, 0.000, 0.500)
B (0.500, 0.500, 0.000)
F (0.500, 0.500, 0.500)
F (0.500, 0.000, 0.000)
F (0.000, 0.500, 0.000)
F (0.000, 0.000, 0.500)

Calculated values
Size of the total moment = 0.00 μB per cell
SG = No. 225
Electronic total energy = -26.68 eV/cell

***

## TbCe6S8 (PBE)

Data for an optimized crystal structure of TbCe6S8.

abc: 8.033 8.033 8.033
angles: 60.00 60.00 60.00
Last column: magnetic moment on the atom in μB.
Fractional coordinates of all 15 atoms:
Tb (0.000, 0.000, 0.000)  0.08
Ce (0.000, 0.500, 0.500)  0.75
Ce (0.500, 0.000, 0.000)  0.75
Ce (0.500, 0.500, 0.000)  0.75
Ce (0.000, 0.000, 0.500)  0.75
Ce (0.000, 0.500, 0.000)  0.75
Ce (0.500, 0.000, 0.500)  0.75
S (0.750, 0.750, 0.750)  -0.03
S (0.250, 0.250, 0.250)  -0.03
S (0.755, 0.245, 0.245)  -0.02
S (0.245, 0.755, 0.755)  -0.02
S (0.245, 0.245, 0.755)  -0.02
S (0.755, 0.755, 0.245)  -0.02
S (0.755, 0.245, 0.755)  -0.02
S (0.245, 0.755, 0.245)  -0.02

Calculated values
DOS(E_F) = 32.80 states/eV/f.u.
Size of the total moment = 5.47 μB per cell
SG = No. 225
Electronic total energy = -103.76 eV/cell

***

## Pr3HoEr2 (PBE)

Data for an optimized crystal structure of Pr3HoEr2.

abc: 3.558 6.869 17.682
angles: 79.72 84.23 74.99
Fractional coordinates of all 12 atoms:
Pr (0.068, 0.032, 0.831)
Pr (0.932, 0.968, 0.169)
Pr (0.628, 0.735, 0.010)
Pr (0.372, 0.265, 0.990)
Pr (0.735, 0.868, 0.662)
Pr (0.265, 0.132, 0.338)
Ho (0.459, 0.400, 0.681)
Ho (0.541, 0.600, 0.319)
Er (0.804, 0.558, 0.834)
Er (0.196, 0.442, 0.166)
Er (0.632, 0.236, 0.499)
Er (0.368, 0.764, 0.501)

Calculated values
DOS(E_F) = 9.55 states/eV/f.u.
Size of the total moment = 0.00 μB per cell
SG = No. 12
Electronic total energy = -54.73 eV/cell
Energy of formation from the pure elements = 0.68 eV/f.u.

***

## InOs2Au (PBE)

Data for an optimized crystal structure of InOs2Au.

abc: 9.345 9.345 9.345
angles: 17.74 17.74 17.74
Fractional coordinates of all 4 atoms:
Au (0.250, 0.250, 0.250)
In (0.750, 0.750, 0.750)
Os (0.000, 0.000, 0.000)
Os (0.500, 0.500, 0.500)

Calculated values
DOS(E_F) = 3.37 states/eV/f.u.
Size of the total moment = 0.00 μB per cell
SG = No. 166
Electronic total energy = -25.77 eV/cell
Energy of formation from the pure elements = 2.71 eV/f.u.

***

## MnZn2Fe (PBE)

Data for an optimized crystal structure of MnZn2Fe.

abc: 2.584 2.584 8.049
angles: 90.00 90.00 100.40
Last column: magnetic moment on the atom in μB.
Fractional coordinates of all 4 atoms:
Fe (0.000, 0.000, 0.505)  2.39
Mn (0.500, 0.500, 0.741)  2.75
Zn (0.000, 0.000, 0.991)  -0.03
Zn (0.500, 0.500, 0.262)  -0.04

Calculated values
DOS(E_F) = 3.09 states/eV/f.u.
Size of the total moment = 5.12 μB per cell
SG = No. 35
Electronic total energy = -19.79 eV/cell
Energy of formation from the pure elements = 0.39 eV/f.u.

***

## Dy3ScHg12 (PBE)

Data for an optimized crystal structure of Dy3ScHg12.

abc: 4.492 4.492 19.019
angles: 90.00 90.00 90.00
Fractional coordinates of all 16 atoms:
Dy (0.000, 0.000, 0.246)
Dy (0.000, 0.000, 0.500)
Dy (0.000, 0.000, 0.754)
Sc (0.000, 0.000, 0.000)
Hg (0.500, 0.500, 0.000)
Hg (0.500, 0.500, 0.246)
Hg (0.500, 0.500, 0.500)
Hg (0.500, 0.500, 0.754)
Hg (0.500, 0.000, 0.120)
Hg (0.500, 0.000, 0.373)
Hg (0.500, 0.000, 0.627)
Hg (0.500, 0.000, 0.880)
Hg (0.000, 0.500, 0.120)
Hg (0.000, 0.500, 0.373)
Hg (0.000, 0.500, 0.627)
Hg (0.000, 0.500, 0.880)

Calculated values
DOS(E_F) = 10.52 states/eV/f.u.
Size of the total moment = 0.00 μB per cell
SG = No. 123
Electronic total energy = -28.36 eV/cell
Energy of formation from the pure elements = -4.60 eV/f.u.

***

## SrCrAsBr2 (PBE)

Data for an optimized crystal structure of SrCrAsBr2.

abc: 5.207 5.207 4.971
angles: 90.00 90.00 90.00
Last column: magnetic moment on the atom in μB.
Fractional coordinates of all 5 atoms:
Sr (0.500, 0.500, 0.500)  0.00
As (0.000, 0.000, 0.500)  -0.26
Br (0.000, 0.500, 0.000)  -0.03
Br (0.500, 0.000, 0.000)  -0.03
Cr (0.000, 0.000, 0.000)  3.27

Calculated values
DOS(E_F) = 2.26 states/eV/f.u.
Size of the total moment = 3.00 μB per cell
SG = No. 123
Electronic total energy = -22.90 eV/cell

***

## LiSeCl2 (PBE)

Data for an optimized crystal structure of LiSeCl2.

abc: 7.041 7.041 6.097
angles: 54.73 54.73 90.00
Last column: magnetic moment on the atom in μB.
Fractional coordinates of all 8 atoms:
Li (0.500, 0.500, 0.000)  0.00
Li (0.250, 0.750, 0.500)  0.00
Se (0.000, 0.000, 0.000)  0.49
Se (0.750, 0.250, 0.500)  0.48
Cl (0.588, 0.125, 0.250)  0.08
Cl (0.162, 0.625, 0.250)  0.09
Cl (0.375, 0.412, 0.750)  0.08
Cl (0.875, 0.838, 0.750)  0.09

Calculated values
DOS(E_F) = 2.65 states/eV/f.u.
Size of the total moment = 1.93 μB per cell
SG = No. 122
Electronic total energy = -21.44 eV/cell

***

## SmMg4Pd2 (PBE)

Data for an optimized crystal structure of SmMg4Pd2.

abc: 4.506 8.081 8.081
angles: 90.00 90.00 90.00
Fractional coordinates of all 14 atoms:
Sm (0.500, 0.000, 0.000)
Sm (0.000, 0.500, 0.500)
Mg (0.000, 0.088, 0.336)
Mg (0.000, 0.912, 0.664)
Mg (0.500, 0.164, 0.588)
Mg (0.500, 0.836, 0.412)
Mg (0.500, 0.412, 0.836)
Mg (0.500, 0.588, 0.164)
Mg (0.000, 0.336, 0.088)
Mg (0.000, 0.664, 0.912)
Pd (0.000, 0.231, 0.769)
Pd (0.000, 0.769, 0.231)
Pd (0.500, 0.731, 0.731)
Pd (0.500, 0.269, 0.269)

Calculated values
DOS(E_F) = 3.95 states/eV/f.u.
Size of the total moment = 0.00 μB per cell
SG = No. 136
Electronic total energy = -50.04 eV/cell
Energy of formation from the pure elements = -3.53 eV/f.u.

***

## TaAuNF2 (PBE)

Data for an optimized crystal structure of TaAuNF2.

abc: 4.135 4.135 4.070
angles: 90.00 90.00 90.00
Fractional coordinates of all 5 atoms:
N (0.000, 0.000, 0.500)
F (0.000, 0.500, 0.000)
F (0.500, 0.000, 0.000)
Au (0.500, 0.500, 0.500)
Ta (0.000, 0.000, 0.000)

Calculated values
DOS(E_F) = 2.39 states/eV/f.u.
Size of the total moment = 0.00 μB per cell
SG = No. 123
Electronic total energy = -32.19 eV/cell

***

## AlMoPt4 (PBE)

Data for an optimized crystal structure of AlMoPt4.

abc: 5.227 5.227 5.227
angles: 60.00 60.00 60.00
Last column: magnetic moment on the atom in μB.
Fractional coordinates of all 6 atoms:
Al (0.750, 0.750, 0.750)  -0.02
Mo (0.000, 0.000, 0.000)  1.77
Pt (0.876, 0.375, 0.375)  0.04
Pt (0.375, 0.375, 0.876)  0.04
Pt (0.375, 0.876, 0.375)  0.04
Pt (0.375, 0.375, 0.375)  0.04

Calculated values
DOS(E_F) = 4.89 states/eV/f.u.
Size of the total moment = 2.15 μB per cell
SG = No. 216
Electronic total energy = -38.35 eV/cell
Energy of formation from the pure elements = 0.39 eV/f.u.

***

## Sr2SbW (PBE)

Data for an optimized crystal structure of Sr2SbW.

abc: 5.873 5.873 5.873
angles: 129.94 129.81 73.61
Last column: magnetic moment on the atom in μB.
Fractional coordinates of all 4 atoms:
Sb (0.250, 0.750, 0.500)  -0.02
Sr (0.000, 0.000, 0.000)  0.03
Sr (0.500, 0.500, 0.000)  0.03
W (0.750, 0.250, 0.500)  2.33

Calculated values
DOS(E_F) = 4.30 states/eV/f.u.
Size of the total moment = 3.34 μB per cell
SG = No. 71
Electronic total energy = -17.91 eV/cell

***

## SrNb2NiC (PBE)

Data for an optimized crystal structure of SrNb2NiC.

abc: 4.266 5.251 4.266
angles: 90.00 90.00 90.00
Fractional coordinates of all 5 atoms:
Sr (0.000, 0.500, 0.000)
Nb (0.000, 0.000, 0.500)
Nb (0.500, 0.000, 0.000)
C (0.000, 0.000, 0.000)
Ni (0.500, 0.500, 0.500)

Calculated values
DOS(E_F) = 6.97 states/eV/f.u.
Size of the total moment = 0.00 μB per cell
SG = No. 123
Electronic total energy = -34.31 eV/cell
Energy of formation from the pure elements = 2.52 eV/f.u.

***

## YCo2Ni (PBE)

Data for an optimized crystal structure of YCo2Ni.

abc: 4.130 4.071 4.036
angles: 78.12 90.00 90.00
Last column: magnetic moment on the atom in μB.
Fractional coordinates of all 4 atoms:
Co (0.000, 0.024, 0.125)  1.35
Co (0.000, 0.476, 0.375)  1.35
Ni (0.500, 0.250, 0.250)  0.23
Y (0.500, 0.750, 0.750)  -0.13

Calculated values
DOS(E_F) = 4.95 states/eV/f.u.
Size of the total moment = 2.63 μB per cell
SG = No. 10
Electronic total energy = -25.82 eV/cell
Energy of formation from the pure elements = 0.64 eV/f.u.

***

## CrMo2Au (PBE)

Data for an optimized crystal structure of CrMo2Au.

abc: 9.092 9.092 9.092
angles: 18.11 18.11 18.11
Last column: magnetic moment on the atom in μB.
Fractional coordinates of all 4 atoms:
Au (0.496, 0.496, 0.496)  0.04
Cr (0.745, 0.745, 0.745)  1.68
Mo (0.005, 0.005, 0.005)  -0.29
Mo (0.254, 0.254, 0.254)  -0.10

Calculated values
DOS(E_F) = 4.94 states/eV/f.u.
Size of the total moment = 1.41 μB per cell
SG = No. 160
Electronic total energy = -32.87 eV/cell
Energy of formation from the pure elements = 1.70 eV/f.u.

***

## Dy2Ho4Tm (PBE)

Data for an optimized crystal structure of Dy2Ho4Tm.

abc: 3.546 3.546 19.807
angles: 90.00 90.00 120.00
Fractional coordinates of all 7 atoms:
Tm (0.715, 0.429, 0.666)
Ho (0.047, 0.094, 0.952)
Ho (0.382, 0.763, 0.525)
Ho (0.048, 0.096, 0.239)
Ho (0.381, 0.762, 0.808)
Dy (0.714, 0.428, 0.096)
Dy (0.715, 0.430, 0.382)

Calculated values
DOS(E_F) = 9.64 states/eV/f.u.
Size of the total moment = 0.00 μB per cell
SG = No. 156
Electronic total energy = -31.96 eV/cell
Energy of formation from the pure elements = 0.03 eV/f.u.

***

## KSc2Fe (PBE)

Data for an optimized crystal structure of KSc2Fe.

abc: 3.783 3.783 9.849
angles: 85.13 85.13 51.88
Fractional coordinates of all 4 atoms:
Fe (0.750, 0.750, 0.750)
K (0.250, 0.250, 0.250)
Sc (0.025, 0.025, 0.891)
Sc (0.475, 0.475, 0.609)

Calculated values
DOS(E_F) = 3.18 states/eV/f.u.
Size of the total moment = 0.00 μB per cell
SG = No. 12
Electronic total energy = -21.07 eV/cell
Energy of formation from the pure elements = 1.15 eV/f.u.